1.
A crystal of HfBi3Pb relaxed with PBEsol, computed with meta-GGA SCAN.

Calculated volume: 36.36 A^3/atom
Uncorrected energy: -73.50 eV per atom
Offset from the most stable computed form: 1002 meV per atom

```
data_HfBi3Pb
_symmetry_space_group_name_H-M 'P m -3 m'
_symmetry_Int_Tables_number 221
_symmetry_space_group_name_Hall '-P 4 2 3'
_cell_length_a 5.665
_cell_length_b 5.665
_cell_length_c 5.665
_cell_angle_alpha 90.00
_cell_angle_beta 90.00
_cell_angle_gamma 90.00
loop_
_atom_site_label
_atom_site_fract_x
_atom_site_fract_y
_atom_site_fract_z
Hf1 0.000 0.000 0.000
Bi1 0.000 0.500 0.500
Pb1 0.500 0.500 0.500
```

---

2.
A crystal of HfBi3Pb relaxed with PBEsol, computed with meta-GGA SCAN.

Calculated volume: 34.61 A^3/atom
Uncorrected energy: -74.50 eV per atom
Offset from the most stable computed form: 0 meV per atom

```
data_HfBi3Pb
_symmetry_space_group_name_H-M 'P m -3 m'
_symmetry_Int_Tables_number 221
_symmetry_space_group_name_Hall '-P 4 2 3'
_cell_length_a 5.573
_cell_length_b 5.573
_cell_length_c 5.573
_cell_angle_alpha 90.00
_cell_angle_beta 90.00
_cell_angle_gamma 90.00
loop_
_atom_site_label
_atom_site_fract_x
_atom_site_fract_y
_atom_site_fract_z
Hf1 0.000 0.000 0.000
Bi1 0.000 0.000 0.500
Pb1 0.500 0.500 0.500
```

---

3.
A crystal of HfBi3Pd relaxed with PBEsol, computed with meta-GGA SCAN.

Calculated volume: 28.67 A^3/atom
Uncorrected energy: -65.59 eV per atom
Offset from the most stable computed form: 0 meV per atom

```
data_HfBi3Pd
_symmetry_space_group_name_H-M 'P m -3 m'
_symmetry_Int_Tables_number 221
_symmetry_space_group_name_Hall '-P 4 2 3'
_cell_length_a 5.233
_cell_length_b 5.233
_cell_length_c 5.233
_cell_angle_alpha 90.00
_cell_angle_beta 90.00
_cell_angle_gamma 90.00
loop_
_atom_site_label
_atom_site_fract_x
_atom_site_fract_y
_atom_site_fract_z
Hf1 0.000 0.000 0.000
Bi1 0.000 0.500 0.500
Pd1 0.500 0.500 0.500
```

---

4.
A crystal of Hf2BiPd2 relaxed with PBEsol, computed with meta-GGA SCAN.

Calculated volume: 19.40 A^3/atom
Uncorrected energy: -54.47 eV per atom

```
data_Hf2BiPd2
_symmetry_space_group_name_H-M 'P 4/m b m'
_symmetry_Int_Tables_number 127
_symmetry_space_group_name_Hall '-P 4 2ab'
_cell_length_a 7.689
_cell_length_b 7.689
_cell_length_c 3.281
_cell_angle_alpha 90.00
_cell_angle_beta 90.00
_cell_angle_gamma 90.00
loop_
_atom_site_label
_atom_site_fract_x
_atom_site_fract_y
_atom_site_fract_z
Hf1 0.163 0.337 0.000
Bi1 0.000 0.000 0.500
Pd1 0.127 0.627 0.500
```

---

no.,E_form (eV/f.u.)
1,6.7
2,1.7
3,3.2
4,-2.9